1.
A relaxed NiGeSb2Te crystal. Source: the Alexandria database, functional PBE-GGA.

Geometry as CIF:
```
data_NiGeSb2Te
_chemical_formula_sum 'Ni1 Ge1 Sb2 Te1'
_symmetry_space_group_name_H-M 'P 4/m m m'
_symmetry_Int_Tables_number 123
_symmetry_space_group_name_Hall '-P 4 2'
_cell_length_a 4.891
_cell_length_b 4.891
_cell_length_c 5.354
_cell_angle_alpha 90.00
_cell_angle_beta 90.00
_cell_angle_gamma 90.00
loop_
_atom_site_label
_atom_site_fract_x
_atom_site_fract_y
_atom_site_fract_z
_atom_site_occupancy
Ni1 0.000 0.000 0.000 1
Ge1 0.500 0.500 0.500 1
Sb1 0.000 0.500 0.000 1
Te1 0.000 0.000 0.500 1
```

Computed properties:
- distance to the lowest polymorph of the same formula (eV per atom) = 0.0000
- E_tot (eV/atom) = -3.97
- E_form (uncorrected) (eV/atom) = 0.3897

---

2.
A relaxed Mg13Sn2 crystal. Source: the Alexandria database, functional PBE-GGA.

Geometry as CIF:
```
data_Mg13Sn2
_chemical_formula_sum 'Mg39 Sn6'
_symmetry_space_group_name_H-M 'R -3 m'
_symmetry_Int_Tables_number 166
_symmetry_space_group_name_Hall '-R 3 2"'
_cell_length_a 7.9808
_cell_length_b 7.9808
_cell_length_c 22.9587
_cell_angle_alpha 90.00
_cell_angle_beta 90.00
_cell_angle_gamma 120.00
loop_
_atom_site_label
_atom_site_fract_x
_atom_site_fract_y
_atom_site_fract_z
_atom_site_occupancy
Mg1 0.0000 0.0000 0.0000 1
Mg2 0.0727 0.5363 0.4290 1
Mg3 0.0817 0.5409 0.2943 1
Sn1 0.0000 0.0000 0.1338 1
```

Computed properties:
- distance to the lowest polymorph of the same formula (eV per atom) = 0.0000
- E_tot (eV/atom) = -1.76
- ΔH_f (0 K) (kcal/mol of atoms) = 3.50

---

3.
A relaxed Ba2ZrHg crystal. Source: the Alexandria database, functional PBE-GGA.

Geometry as CIF:
```
data_Ba2ZrHg
_chemical_formula_sum 'Ba2 Zr1 Hg1'
_symmetry_space_group_name_H-M 'P 4/m m m'
_symmetry_Int_Tables_number 123
_symmetry_space_group_name_Hall '-P 4 2'
_cell_length_a 3.867
_cell_length_b 3.867
_cell_length_c 9.703
_cell_angle_alpha 90.00
_cell_angle_beta 90.00
_cell_angle_gamma 90.00
loop_
_atom_site_label
_atom_site_fract_x
_atom_site_fract_y
_atom_site_fract_z
_atom_site_occupancy
Ba1 0.000 0.000 0.238 1
Zr1 0.500 0.500 0.500 1
Hg1 0.500 0.500 0.000 1
```

Computed properties:
- E_tot (eV/atom) = -2.96
- ΔH_f (0 K) (kcal/mol of atoms) = 4.87

---

4.
A relaxed La6AgHg crystal. Source: the Alexandria database, functional PBE-GGA.

Geometry as CIF:
```
data_La6AgHg
_chemical_formula_sum 'La12 Ag2 Hg2'
_symmetry_space_group_name_H-M 'I 4/m m m'
_symmetry_Int_Tables_number 139
_symmetry_space_group_name_Hall '-I 4 2'
_cell_length_a 5.407
_cell_length_b 5.407
_cell_length_c 17.889
_cell_angle_alpha 90.00
_cell_angle_beta 90.00
_cell_angle_gamma 90.00
loop_
_atom_site_label
_atom_site_fract_x
_atom_site_fract_y
_atom_site_fract_z
_atom_site_occupancy
La1 0.000 0.000 0.250 1
La2 0.000 0.500 0.109 1
Ag1 0.000 0.000 0.000 1
Hg1 0.000 0.000 0.500 1
```

Computed properties:
- distance to the lowest polymorph of the same formula (eV per atom) = 0.0000
- E_tot (eV/atom) = -4.28
- ΔH_f (0 K) (kcal/mol of atoms) = -4.28

---

5.
A relaxed Ce2AuSe crystal. Source: the Alexandria database, functional PBE-GGA.

Geometry as CIF:
```
data_Ce2AuSe
_chemical_formula_sum 'Ce4 Au2 Se2'
_symmetry_space_group_name_H-M 'P m m n'
_symmetry_Int_Tables_number 59
_cell_length_a 4.177
_cell_length_b 5.988
_cell_length_c 8.796
_cell_angle_alpha 90.00
_cell_angle_beta 90.00
_cell_angle_gamma 90.00
loop_
_symmetry_equiv_pos_as_xyz
'x,y,z'
'-x,-y,-z'
'-x+1/2,-y+1/2,z'
'x+1/2,y+1/2,-z'
'x+1/2,-y,-z'
'-x+1/2,y,z'
'-x,y+1/2,-z'
'x,-y+1/2,z'
loop_
_atom_site_label
_atom_site_fract_x
_atom_site_fract_y
_atom_site_fract_z
_atom_site_occupancy
Ce1 0.250 0.250 0.116 1
Ce2 0.250 0.250 0.629 1
Au1 0.250 0.750 0.626 1
Se1 0.250 0.750 0.124 1
```

Computed properties:
- distance to the lowest polymorph of the same formula (eV per atom) = 0.0679
- E_tot (eV/atom) = -5.77
- E_form (uncorrected) (eV/atom) = -1.1100

---

6.
A relaxed Li5Al crystal. Source: the Alexandria database, functional PBE-GGA.

Geometry as CIF:
```
data_Li5Al
_chemical_formula_sum 'Li10 Al2'
_symmetry_space_group_name_H-M 'C 1 m 1'
_symmetry_Int_Tables_number 8
_symmetry_space_group_name_Hall 'C -2y'
_cell_length_a 10.767
_cell_length_b 2.876
_cell_length_c 7.226
_cell_angle_alpha 90.00
_cell_angle_beta 106.55
_cell_angle_gamma 90.00
loop_
_atom_site_label
_atom_site_fract_x
_atom_site_fract_y
_atom_site_fract_z
_atom_site_occupancy
Li1 0.000 0.000 0.000 1
Li2 0.053 0.000 0.624 1
Li3 0.169 0.500 0.330 1
Li4 0.321 0.000 0.682 1
Li5 0.385 0.000 0.272 1
Al1 0.220 0.500 0.951 1
```

Computed properties:
- distance to the lowest polymorph of the same formula (eV per atom) = 0.0125
- E_tot (eV/atom) = -2.27
- ΔH_f (0 K) (kcal/mol of atoms) = -1.25